1.
VASP calculation (PBE-GGA) on a geometry-optimized HfIrAu2Br structure.

Values from the calculation:
Magnetic moment = 0.405 μB/atom
Raw formation energy = 1.208 eV/atom
Space-group type = P4/mmm (123)
Crystal system = tetragonal
Mass density = 10233 kg/m³

The structure in POSCAR format:
```
HfIrAu2Br
1.0
-0.403 -4.943 -1.704
2.810 1.135 -3.956
4.312 -1.281 2.696
Ir Br Au Hf
1 1 2 1
direct
0.500 0.500 0.500
0.000 0.500 0.000
0.500 0.000 0.000
0.000 0.000 0.500
0.000 0.000 0.000
```

---

2.
VASP calculation (PBE-GGA) on a geometry-optimized KHfAu2Br structure.

Values from the calculation:
Magnetic moment = 0.000 μB/atom
Raw formation energy = -0.329 eV/atom
Space-group type = P4/mmm (123)
Crystal system = tetragonal
Mass density = 7429 kg/m³

The structure in POSCAR format:
```
KHfAu2Br
1.0
-2.529 -4.773 0.073
2.082 -1.030 4.759
-4.275 2.302 2.369
Au Br K Hf
2 1 1 1
direct
0.000 0.000 0.500
0.500 0.000 0.000
0.000 0.500 0.000
0.500 0.500 0.500
0.000 0.000 0.000
```

---

3.
VASP calculation (PBE-GGA) on a geometry-optimized HfRu2AuBr structure.

Values from the calculation:
Magnetic moment = 0.000 μB/atom
Raw formation energy = 1.007 eV/atom
Space-group type = P4/mmm (123)
Crystal system = tetragonal
Mass density = 10971 kg/m³

The structure in POSCAR format:
```
HfRu2AuBr
1.0
-3.380 1.297 -2.719
-2.362 -4.129 0.966
-2.054 1.996 3.507
Hf Br Ru Au
1 1 2 1
direct
0.000 0.500 0.000
0.000 0.000 0.000
0.500 0.000 0.000
0.000 0.000 0.500
0.500 0.500 0.500
```

---

4.
VASP calculation (PBE-GGA) on a geometry-optimized HfSc2AuBr structure.

Values from the calculation:
Magnetic moment = 0.000 μB/atom
Raw formation energy = 0.565 eV/atom
Space-group type = P4/mmm (123)
Crystal system = tetragonal
Mass density = 6322 kg/m³

The structure in POSCAR format:
```
HfSc2AuBr
1.0
-0.568 -1.254 -5.173
1.456 -4.681 0.975
-5.089 -1.396 0.898
Sc Br Hf Au
2 1 1 1
direct
0.500 0.000 0.000
0.000 0.000 0.500
0.000 0.500 0.000
0.000 0.000 0.000
0.500 0.500 0.500
```